Entry 1:
A relaxed structure of NaTl2PtAu, computed with PBE.

a b c (Å): 5.2578 5.2578 5.4187
angles (deg): 90.00 90.00 90.00
With the nearest neighbours (Å) after each atom.
Positions (direct):
Na  0.0000  0.0000  0.5000  2 Pt 2.71
Tl  0.0000  0.5000  0.0000  2 Pt 2.63
Tl  0.5000  0.0000  0.0000  2 Pt 2.63
Au  0.5000  0.5000  0.5000  4 Na 3.72, 8 Tl 3.78
Pt  0.0000  0.0000  0.0000  4 Tl 2.63, 2 Na 2.71

- Formation energy from the elements: 0.021 eV per atom

Entry 2:
A relaxed structure of NaTlPtAu, computed with PBE.

a b c (Å): 4.8029 4.8029 4.8029
angles (deg): 60.00 60.00 60.00
With the nearest neighbours (Å) after each atom.
Positions (direct):
Na  0.2500  0.2500  0.2500  4 Au 2.94, 4 Tl 2.94
Au  0.0000  0.0000  0.0000  4 Na 2.94, 4 Pt 2.94
Pt  0.7500  0.7500  0.7500  4 Tl 2.94, 4 Au 2.94
Tl  0.5000  0.5000  0.5000  4 Na 2.94, 4 Pt 2.94

- Formation energy from the elements: -0.127 eV per atom

Entry 3:
A relaxed structure of NaTmPtAu, computed with PBE.

a b c (Å): 4.8568 4.8568 4.8568
angles (deg): 60.00 60.00 60.00
With the nearest neighbours (Å) after each atom.
Positions (direct):
Tm  0.0000  0.0000  0.0000  4 Pt 2.97, 4 Au 2.97
Au  0.2500  0.2500  0.2500  4 Na 2.97, 4 Tm 2.97
Pt  0.7500  0.7500  0.7500  4 Na 2.97, 4 Tm 2.97
Na  0.5000  0.5000  0.5000  4 Pt 2.97, 4 Au 2.97

- Formation energy from the elements: -0.683 eV per atom

Entry 4:
A relaxed structure of NaYPtAu, computed with PBE.

a b c (Å): 4.9116 4.9116 4.9116
angles (deg): 60.00 60.00 60.00
With the nearest neighbours (Å) after each atom.
Positions (direct):
Pt  0.7500  0.7500  0.7500  4 Y 3.01, 4 Na 3.01
Au  0.2500  0.2500  0.2500  4 Na 3.01, 4 Y 3.01
Na  0.0000  0.0000  0.0000  4 Pt 3.01, 4 Au 3.01
Y  0.5000  0.5000  0.5000  4 Au 3.01, 4 Pt 3.01

- Formation energy from the elements: -0.666 eV per atom

Entry 5:
A relaxed structure of Na2Zn2PtAu5, computed with PBE.

a b c (Å): 3.4935 10.5062 10.5062
angles (deg): 90.00 90.00 90.00
With the nearest neighbours (Å) after each atom.
Positions (direct):
Au  0.5000  0.0000  0.5000  4 Zn 2.60
Au  0.5000  0.0600  0.8024  2 Zn 2.62, 2 Pt 2.79
Au  0.5000  0.6976  0.4400  2 Zn 2.62, 2 Pt 2.79
Au  0.5000  0.4400  0.3024  2 Zn 2.62, 2 Pt 2.79
Au  0.5000  0.5000  0.0000  4 Zn 2.60
Au  0.5000  0.9400  0.1976  2 Zn 2.62, 2 Pt 2.79
Au  0.5000  0.8024  0.9400  2 Zn 2.62, 2 Pt 2.79
Au  0.5000  0.5601  0.6976  2 Zn 2.62, 2 Pt 2.79
Au  0.5000  0.3024  0.5601  2 Zn 2.62, 2 Pt 2.79
Au  0.5000  0.1976  0.0600  2 Zn 2.62, 2 Pt 2.79
Zn  0.0000  0.8700  0.3700  6 Au 2.60-2.62, 1 Na 2.90
Zn  0.0000  0.3700  0.1300  6 Au 2.60-2.62, 1 Na 2.90
Zn  0.0000  0.1300  0.6300  6 Au 2.60-2.62, 1 Na 2.90
Zn  0.0000  0.6300  0.8700  6 Au 2.60-2.62, 1 Na 2.90
Na  0.0000  0.3255  0.8255  3 Zn 2.90-3.23, 2 Au 3.13
Na  0.0000  0.8255  0.6745  3 Zn 2.90-3.23, 2 Au 3.13
Na  0.0000  0.1745  0.3255  3 Zn 2.90-3.23, 2 Au 3.13
Na  0.0000  0.6745  0.1745  3 Zn 2.90-3.23, 2 Au 3.13
Pt  0.0000  0.5000  0.5000  8 Au 2.79
Pt  0.0000  0.0000  0.0000  8 Au 2.79

- Formation energy from the elements: -0.226 eV per atom

Entry 6:
A relaxed structure of NaPuAu2, computed with PBE.

a b c (Å): 4.1804 4.1804 7.4372
angles (deg): 73.68 73.68 60.00
With the nearest neighbours (Å) after each atom.
Positions (direct):
Au  0.0862  0.0862  0.7415  3 Na 2.92, 3 Pu 3.00
Au  0.2482  0.2482  0.2555  3 Na 3.00, 3 Pu 3.03
Pu  0.6684  0.6684  0.9948  6 Au 3.00-3.03
Na  0.4972  0.4972  0.5083  6 Au 2.92-3.00

- Formation energy from the elements: -0.200 eV per atom

Question: Which of these has the lowest formation energy from the elements?
Answer: NaTmPtAu